Density functional theory data (PBE) for an optimized crystal structure of HgTe2H2.

Calculated volume ... 27.66 A^3/atom
Total DFT energy (no corrections) ... -2.536 eV/atom
Crystal system ... triclinic
Polymorph energy (0 for the lowest one) ... 0.0 kJ per mole of atoms

Cell: 4.7021 4.8330 6.0980 Å, 91.40 92.71 91.86°
Space group P-1 (No. 2)
Inequivalent atoms, fractional coordinates:
Hg 0.0000 0.0000 0.0000 (multiplicity 1)
Te 0.3321 0.6836 0.7531 (multiplicity 2)
H 0.1342 0.7523 0.5246 (multiplicity 2)